Entry 1:
AlSi2Mo (PBE-GGA, relaxed); raw formation energy = 0.14 eV per atom; DOS(E_F) = 2.7 states/eV per cell; electronic total energy = -6.21 eV per atom
1.0
2.7941 -0.0260 0.0000
-0.7270 2.6980 0.0000
0.0000 0.0000 7.9605
Si Mo Al
2 1 1
Direct
0.5000 0.5000 0.2438
0.0000 0.0000 0.9963
0.5000 0.5000 0.7589
0.0000 0.0000 0.5009

Entry 2:
Al4Si2Mo3 (PBE-GGA, relaxed); raw formation energy = -0.35 eV per atom; DOS(E_F) = 8.6 states/eV per cell; electronic total energy = -6.83 eV per atom
1.0
4.7992 -0.0032 -0.0001
-2.3520 4.1833 -0.0001
1.2005 2.0507 13.2148
Al Mo Si
8 6 4
Direct
0.9684 0.0316 0.0000
0.6316 0.7100 0.6650
0.9577 0.3780 0.6682
0.6990 0.6271 0.1681
0.2982 0.7018 0.0000
0.2900 0.3684 0.3350
0.6220 0.0423 0.3318
0.3729 0.3010 0.8319
0.9585 0.7059 0.3379
0.7083 0.9641 0.8333
0.3722 0.6278 0.5000
0.6339 0.3661 0.0000
0.2941 0.0415 0.6620
0.0359 0.2917 0.1667
0.0354 0.9646 0.5000
0.0452 0.6351 0.8330
0.7117 0.2883 0.5000
0.3649 0.9548 0.1670

Entry 3:
AlSiMo2 (PBE-GGA, relaxed); E above lowest polymorph = 17.4 kJ/mol of atoms; raw formation energy = -0.12 eV per atom; DOS(E_F) = 3.0 states/eV per cell; electronic total energy = -7.83 eV per atom
1.0
-0.8593 -0.7568 -4.6251
1.3154 -2.6336 -3.7465
-2.9375 -3.3849 0.0404
Al Mo Si
1 2 1
Direct
0.7553 0.7553 0.7666
0.0055 0.0055 0.9703
0.2395 0.2395 0.2853
0.4997 0.4997 0.4778

Entry 4:
AlSi2Mo (PBE-GGA, relaxed); raw formation energy = -0.14 eV per atom; DOS(E_F) = 1.4 states/eV per cell; electronic total energy = -6.50 eV per atom
1.0
3.2913 0.0000 0.0000
0.0000 3.3065 0.0112
0.0000 3.2882 5.3141
Al Mo Si
1 1 2
Direct
0.5000 0.2500 0.2500
0.5000 0.7500 0.7500
0.0000 0.4958 0.5041
0.0000 0.0042 0.9959

Entry 5:
AlSiMo2 (PBE-GGA, relaxed); E above lowest polymorph = 29.1 kJ/mol of atoms; raw formation energy = 0.00 eV per atom; DOS(E_F) = 4.3 states/eV per cell; electronic total energy = -7.71 eV per atom
1.0
0.0000 3.0802 3.0802
3.0802 0.0000 3.0802
3.0802 3.0802 0.0000
Mo Si Al
2 1 1
Direct
0.2500 0.2500 0.2500
0.7500 0.7500 0.7500
0.5000 0.5000 0.5000
0.0000 0.0000 0.0000

Entry 6:
AlSiMo6 (PBE-GGA, relaxed); raw formation energy = -0.29 eV per atom; DOS(E_F) = 4.4 states/eV per cell; electronic total energy = -9.56 eV per atom
1.0
4.9433 0.0000 0.0000
0.0000 4.9433 0.0000
0.0000 0.0000 4.9433
Mo Al Si
6 1 1
Direct
0.7518 0.0000 0.5000
0.0000 0.5000 0.7518
0.2482 0.0000 0.5000
0.5000 0.7518 0.0000
0.5000 0.2482 0.0000
0.0000 0.5000 0.2482
0.5000 0.5000 0.5000
0.0000 0.0000 0.0000

Entry 7:
Al2SiMo (PBE-GGA, relaxed); raw formation energy = -0.11 eV per atom; DOS(E_F) = 2.4 states/eV per cell; electronic total energy = -6.04 eV per atom
1.0
4.4925 0.0000 0.0000
0.0000 2.8072 -0.0388
0.0000 0.0661 4.7483
Al Mo Si
2 1 1
Direct
0.5000 0.1250 0.2843
0.0000 0.1249 0.9638
0.0000 0.6250 0.4750
0.5000 0.6251 0.7769

Entry 8:
AlSiMo2 (PBE-GGA, relaxed); E above lowest polymorph = 27.6 kJ/mol of atoms; raw formation energy = -0.02 eV per atom; DOS(E_F) = 2.9 states/eV per cell; electronic total energy = -7.72 eV per atom
1.0
-4.3663 6.6155 -3.6891
-6.0072 4.4397 -4.5432
-6.4115 5.6084 -1.9690
Al Si Mo
1 1 2
Direct
0.7500 0.7500 0.7500
0.2500 0.2500 0.2500
0.9967 0.9967 0.9967
0.5033 0.5033 0.5033

Look up the electronic total energy of the fourth one. -6.50 eV per atom

Among the records above, which one has the lowest electronic total energy? AlSiMo6